! SCAN Zr2P3H3O13, single point on PBEsol structure; values from VASP
&SYSTEM
  ibrav = 0, nat = 42, ntyp = 4
/
ATOMIC_SPECIES
H 1.01 H.upf
O 16.00 O.upf
Zr 91.22 Zr.upf
P 30.97 P.upf
ATOMIC_POSITIONS angstrom
H 9.366 9.543 7.126
H 8.268 0.255 0.172
H 9.388 5.610 4.734
H 5.346 7.683 0.901
H 8.246 4.803 3.761
H 9.753 5.004 3.058
O 6.017 2.659 3.217
O 6.021 2.385 0.701
O 9.360 3.416 6.362
O 11.423 7.467 4.663
O 8.110 8.470 3.333
O 12.557 6.070 2.361
O 7.784 1.269 2.110
O 9.678 8.846 5.849
O 11.418 7.701 7.203
O 3.316 1.347 0.835
O 3.307 3.682 3.064
O 9.197 4.937 3.960
O 4.786 2.567 7.853
O 11.514 2.323 5.672
O 8.153 6.636 1.611
O 13.733 5.918 7.216
O 5.983 7.760 2.172
O 9.687 6.309 6.011
O 10.397 4.932 1.791
O 14.210 6.469 4.793
O 3.722 4.213 0.614
O 7.099 5.195 6.149
O 9.345 1.610 4.620
O 7.779 3.785 1.813
O 4.956 4.089 5.451
O 14.201 8.712 7.091
Zr 8.711 5.004 7.441
Zr 4.322 2.498 4.367
Zr 13.129 7.671 3.536
Zr 8.740 5.037 0.441
P 10.014 2.098 5.922
P 6.895 2.524 1.960
P 10.574 7.581 5.932
P 5.599 5.411 5.894
P 11.940 4.729 1.956
P 7.524 7.973 2.013
CELL_PARAMETERS angstrom
8.811 0.024 0.024
4.385 7.650 0.046
4.377 2.468 7.902
! Calculated total energy: -238.583 eV per formula unit
! Space-group type: C2 (5)
! V: 12.6 Å³/atom
! Spin magnetization: 0.00 μB per formula unit